The following is a PBE-GGA calculation of a relaxed structure of V2FeRh, from Alexandria via LeMat-Bulk.

The structure in POSCAR format:
```
V2FeRh
1.0
-3.315 -0.166 -0.687
0.278 -3.965 -0.383
-1.488 -0.816 7.373
V Fe Rh
4 2 2
Direct
0.000 0.250 0.107
0.000 0.750 0.893
0.000 0.250 0.655
0.000 0.750 0.345
0.500 0.250 0.875
0.500 0.750 0.125
0.500 0.250 0.374
0.500 0.750 0.626
```

Values from the calculation:
M_tot	0.00	μB/f.u.
crystal system	orthorhombic
V	51.2	Å³/f.u.
N(E_F)	9.69	states/eV/cell
ΔE_f	-0.19	eV per atom
space-group type	No. 51

=====

The following is a PBE-GGA calculation of a relaxed structure of AgRuAu2, from Alexandria via LeMat-Bulk.

The structure in POSCAR format:
```
AgRuAu2
1.0
2.821 0.000 0.000
0.000 4.972 0.000
0.000 0.000 4.910
Ag Au Ru
1 2 1
Direct
0.000 0.500 0.500
0.000 0.000 0.000
0.500 0.500 0.000
0.500 0.000 0.500
```

Values from the calculation:
offset from the most stable computed form	4.03	kcal/mol of atoms
M_tot	1.24	μB/f.u.
crystal system	orthorhombic
V	68.9	Å³/f.u.
N(E_F)	3.17	states/eV/cell
ΔE_f	0.42	eV per atom
space-group type	No. 47

=====

The following is a PBE-GGA calculation of a relaxed structure of CsPuBeO5, from Alexandria via LeMat-Bulk.

The structure in POSCAR format:
```
CsPuBeO5
1.0
6.050 0.149 -0.196
-1.624 5.830 -0.196
-2.087 -2.819 7.227
Cs Pu Be O
2 2 2 10
Direct
0.338 0.662 0.250
0.662 0.338 0.750
0.000 0.000 0.500
0.000 0.000 0.000
0.697 0.303 0.250
0.303 0.697 0.750
0.054 0.946 0.250
0.946 0.054 0.750
0.876 0.254 0.118
0.124 0.746 0.882
0.746 0.124 0.382
0.254 0.876 0.618
0.799 0.623 0.370
0.201 0.377 0.630
0.377 0.201 0.130
0.623 0.799 0.870
```

Values from the calculation:
raw formation energy	-2.09	eV/atom
M_tot	1.00	μB/f.u.
crystal system	monoclinic
V	125.0	Å³/f.u.
N(E_F)	0.18	states/eV/cell
space-group type	No. 15

=====

The following is a PBE-GGA calculation of a relaxed structure of BRhC2, from Alexandria via LeMat-Bulk.

The structure in POSCAR format:
```
BRhC2
1.0
-2.664 -1.816 -2.816
-1.012 -2.994 2.888
-4.864 -0.071 1.394
C B Rh
4 2 2
Direct
0.557 0.125 0.250
0.193 0.625 0.250
0.375 0.443 0.750
0.875 0.807 0.750
0.500 0.500 0.000
0.250 0.750 0.500
0.000 0.000 0.000
0.750 0.250 0.500
```

Values from the calculation:
M_tot	0.00	μB/f.u.
crystal system	tetragonal
V	37.2	Å³/f.u.
N(E_F)	0.47	states/eV/cell
ΔE_f	0.65	eV per atom
space-group type	No. 122

=====

The following is a PBE-GGA calculation of a relaxed structure of Al2OsCl, from Alexandria via LeMat-Bulk.

The structure in POSCAR format:
```
Al2OsCl
1.0
3.040 0.001 0.000
-0.001 3.040 0.000
0.000 0.000 7.370
Os Al Cl
1 2 1
Direct
0.500 0.500 0.750
0.000 0.000 0.943
0.000 0.000 0.557
0.500 0.500 0.250
```

Values from the calculation:
raw formation energy	-0.28	eV/atom
offset from the most stable computed form	4.62	kcal/mol of atoms
M_tot	0.00	μB/f.u.
crystal system	tetragonal
V	68.1	Å³/f.u.
N(E_F)	1.19	states/eV/cell
space-group type	No. 123

=====

The following is a PBE-GGA calculation of a relaxed structure of AcThAu4, from Alexandria via LeMat-Bulk.

The structure in POSCAR format:
```
AcThAu4
1.0
3.935 -0.505 -0.204
0.495 3.936 -0.204
0.551 0.427 9.459
Ac Th Au
1 1 4
Direct
0.500 0.500 0.500
0.000 0.000 0.000
0.500 0.500 0.158
0.500 0.500 0.842
0.000 0.000 0.675
0.000 0.000 0.325
```

Values from the calculation:
offset from the most stable computed form	1.25	kcal/mol of atoms
M_tot	0.00	μB/f.u.
crystal system	tetragonal
V	149.7	Å³/f.u.
N(E_F)	3.41	states/eV/cell
ΔE_f	-0.69	eV per atom
space-group type	No. 123

=====

Q: What is the N(E_F) in the fourth record?
A: 0.47 states/eV/cell